No. 1
Crystalline ThH8Rh4 at its relaxed geometry. Source: Alexandria via LeMat-Bulk, functional GGA-PBE.

## Properties
The density of states at the Fermi level comes out at 3.689 states/eV/f.u. The calculation puts the total energy at -65.952 eV for the cell shown. As for the space-group type: P-1, No. 2.

Lattice parameters (Å, degrees): 6.374 6.410 5.369 85.18 120.62 129.26
Atoms (fractional coordinates):
Th 0.000 0.500 0.500
H 0.623 0.898 0.094
H 0.195 0.470 0.092
H 0.647 0.597 0.250
H 0.186 0.073 0.266
H 0.814 0.927 0.734
H 0.353 0.403 0.750
H 0.805 0.530 0.908
H 0.377 0.102 0.906
Rh 0.246 0.245 0.000
Rh 0.754 0.755 0.000
Rh 0.231 0.786 0.018
Rh 0.769 0.214 0.982

No. 2
Crystalline NaLiCdPt at its relaxed geometry. Source: Alexandria via LeMat-Bulk, functional GGA-PBE.

## Properties
The density of states at the Fermi level comes out at 2.393 states/eV/f.u. The calculation puts the total energy at -11.388 eV for the cell shown. As for the space-group type: F-43m, No. 216. The calculation puts the energy of formation from the pure elements at -1.2 eV per formula unit.

Lattice parameters (Å, degrees): 4.688 4.688 4.688 60.00 60.00 60.00
Atoms (fractional coordinates):
Na 0.250 0.250 0.250
Li 0.000 0.000 0.000
Pt 0.750 0.750 0.750
Cd 0.500 0.500 0.500

No. 3
Crystalline Pd3SeF at its relaxed geometry. Source: Alexandria via LeMat-Bulk, functional GGA-PBE.

## Properties
The density of states at the Fermi level comes out at 4.072 states/eV/f.u. The calculation puts the total energy at -20.393 eV for the cell shown. As for the space-group type: Pm-3m, No. 221. The value obtained for the uncorrected formation energy is 0.54 eV per formula unit.

Lattice parameters (Å, degrees): 4.702 4.702 4.702 90.00 90.00 90.00
Atoms (fractional coordinates):
Se 0.000 0.000 0.000
Pd 0.000 0.500 0.000
Pd 0.000 0.000 0.500
Pd 0.500 0.000 0.000
F 0.500 0.500 0.500

No. 4
Crystalline BaSr2Br at its relaxed geometry. Source: Alexandria via LeMat-Bulk, functional GGA-PBE.

## Properties
The density of states at the Fermi level comes out at 3.748 states/eV/f.u. The calculation puts the total energy at -9.502 eV for the cell shown. As for the space-group type: P4/mmm, No. 123. The value obtained for the uncorrected formation energy is -2.54 eV per formula unit.

Lattice parameters (Å, degrees): 4.054 4.054 11.248 90.00 90.00 90.00
Atoms (fractional coordinates):
Sr 0.000 0.000 0.955
Sr 0.000 0.000 0.545
Ba 0.500 0.500 0.250
Br 0.500 0.500 0.750

No. 5
Crystalline AlCdO2F at its relaxed geometry. Source: Alexandria via LeMat-Bulk, functional GGA-PBE.

## Properties
The density of states at the Fermi level comes out at 0.144 states/eV/f.u. The calculation puts the total energy at -27.253 eV for the cell shown. As for the space-group type: P4/mmm, No. 123. The value obtained for the uncorrected formation energy is -10.81 eV per formula unit.

Lattice parameters (Å, degrees): 3.801 3.801 3.663 90.00 90.00 90.00
Atoms (fractional coordinates):
F 0.000 0.000 0.500
Al 0.000 0.000 0.000
O 0.000 0.500 0.000
O 0.500 0.000 0.000
Cd 0.500 0.500 0.500

No. 6
Crystalline ZrTe2P at its relaxed geometry. Source: Alexandria via LeMat-Bulk, functional GGA-PBE.

## Properties
The density of states at the Fermi level comes out at 2.920 states/eV/f.u. The calculation puts the total energy at -21.923 eV for the cell shown. As for the space-group type: C2/m, No. 12. The value obtained for the uncorrected formation energy is -1.68 eV per formula unit.

Lattice parameters (Å, degrees): 7.802 7.802 3.777 76.10 76.10 27.79
Atoms (fractional coordinates):
Zr 0.000 0.000 0.500
Te 0.661 0.661 0.338
Te 0.339 0.339 0.662
P 0.500 0.500 0.000

No. 7
Crystalline Sm7Tm12Mg at its relaxed geometry. Source: Alexandria via LeMat-Bulk, functional GGA-PBE.

## Properties
The density of states at the Fermi level comes out at 31.502 states/eV/f.u. The calculation puts the total energy at -84.073 eV for the cell shown. As for the space-group type: R-3, No. 148. The calculation puts the energy of formation from the pure elements at 4.2 eV per formula unit.

Lattice parameters (Å, degrees): 8.653 8.653 8.653 86.06 86.06 86.06
Atoms (fractional coordinates):
Sm 0.848 0.602 0.920
Sm 0.398 0.080 0.152
Sm 0.080 0.152 0.398
Sm 0.500 0.500 0.500
Sm 0.920 0.848 0.602
Sm 0.602 0.920 0.848
Sm 0.152 0.398 0.080
Tm 0.857 0.248 0.737
Tm 0.752 0.263 0.143
Tm 0.615 0.137 0.500
Tm 0.863 0.500 0.385
Tm 0.263 0.143 0.752
Tm 0.500 0.385 0.863
Tm 0.500 0.615 0.137
Tm 0.737 0.857 0.248
Tm 0.137 0.500 0.615
Tm 0.385 0.863 0.500
Tm 0.248 0.737 0.857
Tm 0.143 0.752 0.263
Mg 0.000 0.000 0.000

No. 8
Crystalline LuUV4 at its relaxed geometry. Source: Alexandria via LeMat-Bulk, functional GGA-PBE.

## Properties
The density of states at the Fermi level comes out at 8.625 states/eV/f.u. The calculation puts the total energy at -50.694 eV for the cell shown. As for the space-group type: F-43m, No. 216. The calculation puts the energy of formation from the pure elements at 1.6 eV per formula unit.

Lattice parameters (Å, degrees): 5.244 5.244 5.244 60.00 60.00 60.00
Each line ends with the local moment (μB).
Atoms (fractional coordinates):
Lu 0.000 0.000 0.000  0.01
U 0.250 0.250 0.250  -0.80
V 0.623 0.623 0.131  0.06
V 0.623 0.131 0.623  0.06
V 0.623 0.623 0.623  0.06
V 0.131 0.623 0.623  0.06